No. 1
First-principles (PBE) data for a relaxed structure of CaPr2UAs4, as listed in the Alexandria database.

Geometry as POSCAR:
```
CaPr2UAs4
1.0
7.313 0.000 0.000
0.000 4.231 0.000
-2.391 0.000 6.920
Ca Pr U As
1 2 1 4
Direct
0.000 0.000 0.000
0.000 0.500 0.500
0.500 0.000 0.500
0.500 0.500 0.000
0.259 0.500 0.238
0.262 0.000 0.764
0.738 0.000 0.236
0.741 0.500 0.762
```

Calculated values
space group = P2/m, No. 10
magnetization = 1.854 Bohr magnetons per cell


No. 2
First-principles (PBE) data for a relaxed structure of Ac2NdMg, as listed in the Alexandria database.

Geometry as POSCAR:
```
Ac2NdMg
1.0
3.997 0.000 0.000
0.000 3.997 0.000
0.000 0.000 9.465
Ac Nd Mg
2 1 1
Direct
0.000 0.000 0.228
0.000 0.000 0.772
0.500 0.500 0.500
0.500 0.500 0.000
```

Calculated values
space group = P4/mmm, No. 123
polymorph energy (0 for the lowest one) = 0 meV per atom
magnetization = 0.000 Bohr magnetons per cell


No. 3
First-principles (PBE) data for a relaxed structure of Sr3Zn2Au4, as listed in the Alexandria database.

Geometry as POSCAR:
```
Sr3Zn2Au4
1.0
5.657 -2.357 0.000
5.657 2.357 0.000
-3.118 0.000 8.527
Sr Zn Au
3 2 4
Direct
0.000 0.000 0.000
0.362 0.362 0.310
0.638 0.638 0.690
0.335 0.335 0.664
0.665 0.665 0.336
0.095 0.095 0.415
0.282 0.282 0.927
0.718 0.718 0.073
0.905 0.905 0.585
```

Calculated values
space group = C2/m, No. 12
magnetization = 0.000 Bohr magnetons per cell


No. 4
First-principles (PBE) data for a relaxed structure of Pr6Mg3N, as listed in the Alexandria database.

Geometry as POSCAR:
```
Pr6Mg3N
1.0
5.425 3.132 5.748
-5.425 3.132 5.748
0.000 -6.264 5.748
Pr Mg N
12 6 2
Direct
0.132 0.806 0.806
0.194 0.194 0.868
0.194 0.868 0.194
0.200 0.521 0.521
0.479 0.479 0.800
0.479 0.800 0.479
0.521 0.200 0.521
0.521 0.521 0.200
0.800 0.479 0.479
0.806 0.132 0.806
0.806 0.806 0.132
0.868 0.194 0.194
0.141 0.141 0.471
0.141 0.471 0.141
0.471 0.141 0.141
0.529 0.859 0.859
0.859 0.529 0.859
0.859 0.859 0.529
0.000 0.000 0.000
0.500 0.500 0.500
```

Calculated values
space group = R-3m, No. 166
ΔE_f (raw) = -0.23 eV per atom
magnetization = 0.001 Bohr magnetons per cell


No. 5
First-principles (PBE) data for a relaxed structure of Be15Cu2W2, as listed in the Alexandria database.

Geometry as POSCAR:
```
Be15Cu2W2
1.0
3.696 2.134 3.590
-3.696 2.134 3.590
0.000 -4.267 3.590
Be Cu W
15 2 2
Direct
0.000 0.000 0.500
0.000 0.304 0.696
0.000 0.500 0.000
0.000 0.696 0.304
0.166 0.649 0.649
0.304 0.000 0.696
0.304 0.696 0.000
0.351 0.351 0.834
0.351 0.834 0.351
0.500 0.000 0.000
0.649 0.166 0.649
0.649 0.649 0.166
0.696 0.000 0.304
0.696 0.304 0.000
0.834 0.351 0.351
0.106 0.106 0.106
0.894 0.894 0.894
0.349 0.349 0.349
0.651 0.651 0.651
```

Calculated values
space group = R-3m, No. 166
magnetization = 0.000 Bohr magnetons per cell


No. 6
First-principles (PBE) data for a relaxed structure of VCrFe2, as listed in the Alexandria database.

Geometry as POSCAR:
```
VCrFe2
1.0
-3.187 3.187 2.441
3.187 -3.187 2.441
3.187 3.187 -2.441
V Cr Fe
2 2 4
Direct
0.000 0.000 0.000
0.750 0.250 0.500
0.250 0.750 0.500
0.500 0.500 0.000
0.138 0.625 0.013
0.375 0.388 0.513
0.612 0.125 0.987
0.875 0.862 0.487
```

Calculated values
space group = I-42d, No. 122
magnetization = 4.482 Bohr magnetons per cell


no.,raw total energy (eV for the cell shown)
1,-51.13
2,-14.67
3,-26.61
4,-88.12
5,-92.24
6,-67.26